Record 1
10
Lattice="5.167 0.000 0.000 0.000 6.579 0.000 0.000 -3.290 8.024" Properties=species:S:1:pos:R:3 comment="LaUS3, optimized geometry, DFT GGA-PBE" de_polymorph_ev_per_fu=1.84 dft_energy_ry_per_atom=-0.5257 pbc="T T T"
S 0.000 0.000 2.367
La 0.000 3.290 2.842
S 2.583 -1.645 4.012
S 0.000 3.290 5.657
S 2.583 4.800 0.000
S 2.583 1.645 4.012
La 0.000 0.000 5.182
U 2.583 3.290 6.114
U 2.583 0.000 1.910
S 2.583 1.780 0.000


Record 2
16
Lattice="7.068 0.060 0.000 -2.421 6.699 0.000 0.000 0.000 8.165" Properties=species:S:1:pos:R:3 comment="La3US4, optimized geometry, DFT GGA-PBE" dft_energy_ry_per_atom=-0.5324 pbc="T T T"
U 1.767 0.015 0.981
S 1.756 5.106 5.161
S -1.778 5.076 3.004
S -0.566 1.591 0.970
La 5.301 0.045 3.046
La 4.090 3.394 5.111
S 2.968 1.622 7.194
S 2.891 1.653 3.004
La 1.767 0.015 5.119
La 4.090 3.394 1.014
S 5.213 5.167 7.194
S 1.679 5.137 0.970
U 5.301 0.045 7.184
La 0.557 3.364 3.054
S 6.425 1.683 5.161
La 0.557 3.364 7.151


Record 3
32
Lattice="7.564 0.000 0.000 0.000 8.224 0.000 0.000 0.000 12.037" Properties=species:S:1:pos:R:3 comment="La2US5, optimized geometry, DFT GGA-PBE" dft_energy_ry_per_atom=-0.5259 pbc="T T T"
S 4.158 6.168 12.020
S 6.335 3.796 10.924
La 4.011 4.102 2.112
La 7.335 0.010 8.131
La 0.229 4.122 3.907
La 4.011 0.010 2.112
La 3.553 8.214 9.926
U 3.287 2.056 6.105
S 7.188 6.168 6.001
S 5.011 3.796 4.905
S 6.138 6.168 2.560
S 2.553 7.908 7.132
S 1.233 6.168 9.778
U 0.495 2.056 0.086
S 0.376 2.056 6.037
U 4.277 6.168 5.933
U 7.069 6.168 11.951
La 0.229 8.214 3.907
S 5.011 0.316 4.905
La 3.553 4.122 9.926
S 3.406 2.056 0.018
S 5.208 6.168 8.578
S 5.016 2.056 8.278
La 7.335 4.102 8.131
S 6.335 0.316 10.924
S 1.229 4.428 1.114
S 2.553 4.428 7.132
S 2.549 6.168 3.759
S 6.331 2.056 2.260
S 1.229 7.908 1.114
S 2.356 2.056 3.459
S 1.426 2.056 9.478


Record 4
20
Lattice="-0.880 -3.856 -0.804 4.979 0.019 -5.539 11.046 -4.586 9.913" Properties=species:S:1:pos:R:3 comment="LaUS3, optimized geometry, DFT GGA-PBE" de_polymorph_ev_per_fu=0.00 dft_energy_ry_per_atom=-0.5527 pbc="T T T"
La 8.983 -6.109 4.276
La 2.634 -1.892 1.130
S 4.250 -2.797 3.701
S 7.860 -3.540 3.316
S 10.983 -4.232 3.218
S 7.285 -4.883 0.254
U 9.552 -3.426 0.915
S 3.431 -1.414 -2.038
U 3.442 -3.061 -4.280
S 14.474 -5.243 4.248
S 4.162 -4.191 0.351
S 9.258 -4.559 6.674
S 0.671 -3.180 -0.678
S 11.714 -7.009 5.607
U 11.703 -5.362 7.849
S 10.895 -5.626 -0.132
La 6.163 -2.314 -0.707
La 12.512 -6.531 2.439
S 5.887 -3.864 -3.104
U 5.593 -4.997 2.654


Record 5
13
Lattice="4.732 0.000 0.000 0.000 8.254 -4.743 0.000 -0.687 8.358" Properties=species:S:1:pos:R:3 comment="La2U3S8, optimized geometry, DFT GGA-PBE" dft_energy_ry_per_atom=-0.5550 pbc="T T T"
S 2.366 7.096 -2.207
La 2.366 5.736 0.427
S 4.732 0.773 1.345
S 0.000 6.795 2.270
S 2.366 0.472 5.822
S 2.366 2.774 0.275
La 2.366 1.832 3.188
S 2.366 4.793 3.340
S 0.000 4.950 -0.939
U 2.366 0.000 0.000
U 0.000 6.027 -3.462
U 0.000 1.541 7.077
S 4.732 2.617 4.554


Record 6
12
Lattice="-0.590 -6.782 -0.173 6.084 -2.844 0.473 2.535 -1.528 6.125" Properties=species:S:1:pos:R:3 comment="LaU5S6, optimized geometry, DFT GGA-PBE" dft_energy_ry_per_atom=-0.6354 pbc="T T T"
S 4.183 -3.896 2.329
U 2.404 -4.884 4.133
S 3.845 -7.257 4.095
La 0.000 0.000 0.000
S 0.961 -5.802 2.017
S 7.067 -5.351 4.407
S 1.442 -2.445 0.080
U 2.871 -1.457 2.216
S 4.051 -7.181 0.220
U 5.747 -2.914 4.381
U 5.624 -6.269 2.292
U 2.747 -4.813 0.150


Record 7
13
Lattice="-6.573 0.739 1.030 0.310 -5.453 5.895 3.451 7.374 1.162" Properties=species:S:1:pos:R:3 comment="La2U3S8, optimized geometry, DFT GGA-PBE" dft_energy_ry_per_atom=-0.5551 pbc="T T T"
U 0.231 -4.055 4.383
S 2.428 0.936 6.216
U 0.080 -1.398 1.512
S -5.133 -0.984 4.838
S 2.322 3.643 3.248
La -2.511 -0.066 5.549
U -3.286 0.369 0.515
S -1.757 0.192 2.764
La -0.300 2.726 2.537
S -1.223 5.438 2.112
S -1.054 2.468 5.322
S -5.240 1.723 1.870
S -1.588 -2.779 5.975


Record 8
7
Lattice="-3.198 -3.170 1.060 0.263 -1.701 -4.294 3.792 -7.025 0.522" Properties=species:S:1:pos:R:3 comment="La2VS4, optimized geometry, DFT GGA-PBE" dft_energy_ry_per_atom=-0.4969 pbc="T T T"
La -0.052 -3.671 -1.041
La 0.908 -8.225 -1.671
V 0.000 0.000 0.000
S -1.114 -6.460 -2.493
S 1.970 -5.436 -0.219
S 0.131 -0.850 -2.147
S -1.599 -1.585 0.530


| no. | ΔE_f (raw) (meV/atom) |
| --- | --- |
| 1 | -1433 |
| 2 | -1921 |
| 3 | -1932 |
| 4 | -1801 |
| 5 | -1649 |
| 6 | -1467 |
| 7 | -1650 |
| 8 | -1692 |